Compound: Ac4NiSe2N
Source: Alexandria via LeMat-Bulk
Functional: GGA-PBE
Structure: optimized geometry

Structure (CIF):
```
data_Ac4NiSe2N
_cell_length_a 7.534
_cell_length_b 4.088
_cell_length_c 7.799
_cell_angle_alpha 90.00
_cell_angle_beta 109.47
_cell_angle_gamma 90.00
_space_group_name_H-M_alt 'P 1 2/m 1'
_space_group_IT_number 10
_space_group_name_Hall '-P 2y'
loop_
_atom_site_label
_atom_site_type_symbol
_atom_site_fract_x
_atom_site_fract_y
_atom_site_fract_z
_atom_site_occupancy
Ac1 Ac 0.212 0.000 0.209 1
Ac2 Ac 0.264 0.500 0.778 1
Ni1 Ni 0.500 0.000 0.000 1
Se1 Se 0.000 0.000 0.500 1
Se2 Se 0.500 0.500 0.500 1
N1 N 0.000 0.500 0.000 1
```

electronic total energy: -46.9 eV per cell

***

Compound: AcSiNiN
Source: Alexandria via LeMat-Bulk
Functional: GGA-PBE
Structure: optimized geometry

Structure (CIF):
```
data_AcSiNiN
_cell_length_a 3.963
_cell_length_b 3.963
_cell_length_c 8.416
_cell_angle_alpha 90.00
_cell_angle_beta 90.00
_cell_angle_gamma 90.00
_space_group_name_H-M_alt 'P 4/n m m'
_space_group_IT_number 129
loop_
_space_group_symop_operation_xyz
'x,y,z'
'-x,-y,-z'
'-y+1/2,x,z'
'y+1/2,-x,-z'
'-x+1/2,-y+1/2,z'
'x+1/2,y+1/2,-z'
'y,-x+1/2,z'
'-y,x+1/2,-z'
'x+1/2,-y,-z'
'-x+1/2,y,z'
'-y,-x,-z'
'y,x,z'
'-x,y+1/2,-z'
'x,-y+1/2,z'
'y+1/2,x+1/2,-z'
'-y+1/2,-x+1/2,z'
loop_
_atom_site_label
_atom_site_type_symbol
_atom_site_fract_x
_atom_site_fract_y
_atom_site_fract_z
_atom_site_occupancy
Ac1 Ac 0.250 0.250 0.167 1
Si1 Si 0.250 0.250 0.644 1
Ni1 Ni 0.250 0.750 0.500 1
N1 N 0.250 0.250 0.856 1
```

electronic total energy: -55.2 eV per cell

***

no.,volume (A^3/atom),formation energy from raw total energies (eV per atom),theoretical density (g cm⁻³)
1,28.3,-1.179,8.3
2,16.5,-0.988,8.2